[1]
The following is a PBE-GGA calculation of a relaxed structure of Li2TlCdIn, from Alexandria via LeMat-Bulk.

abc: 4.560 6.947 7.105
angles: 80.63 90.00 90.00
Fractional positions:
Li 0.250 0.888 0.077
Li 0.250 0.290 0.268
Cd 0.250 0.012 0.659
Tl 0.750 0.604 0.137
In 0.750 0.335 0.541
In 0.250 0.665 0.459
Li 0.750 0.710 0.732
Cd 0.750 0.988 0.341
Li 0.750 0.112 0.923
Tl 0.250 0.396 0.863


[2]
The following is a PBE-GGA calculation of a relaxed structure of LiTlCdIn, from Alexandria via LeMat-Bulk.

abc: 5.145 5.145 5.145
angles: 60.00 60.00 60.00
Fractional positions:
Li 0.500 0.500 0.500
Tl 0.750 0.750 0.750
Cd 0.000 0.000 0.000
In 0.250 0.250 0.250


[3]
The following is a PBE-GGA calculation of a relaxed structure of Li5TlCd2In2, from Alexandria via LeMat-Bulk.

abc: 3.859 10.378 10.378
angles: 90.00 90.00 90.00
Fractional positions:
Li 0.500 0.311 0.584
In 0.000 0.835 0.665
Cd 0.000 0.629 0.871
Li 0.500 0.189 0.084
Cd 0.000 0.129 0.629
Tl 0.000 0.500 0.500
Li 0.500 0.689 0.416
Li 0.500 0.000 0.500
In 0.000 0.335 0.835
Tl 0.000 0.000 0.000
In 0.000 0.665 0.165
In 0.000 0.165 0.335
Cd 0.000 0.371 0.129
Li 0.500 0.500 0.000
Li 0.500 0.084 0.811
Li 0.500 0.584 0.689
Li 0.500 0.916 0.189
Li 0.500 0.811 0.916
Cd 0.000 0.871 0.371
Li 0.500 0.416 0.311


[4]
The following is a PBE-GGA calculation of a relaxed structure of Li5Tl2Cd2In, from Alexandria via LeMat-Bulk.

abc: 3.749 10.682 10.682
angles: 90.00 90.00 90.00
Fractional positions:
Cd 0.000 0.635 0.865
Li 0.500 0.000 0.500
Li 0.500 0.887 0.172
Tl 0.000 0.158 0.342
Cd 0.000 0.865 0.365
Li 0.500 0.328 0.613
In 0.000 0.000 0.000
Tl 0.000 0.658 0.158
Li 0.500 0.672 0.387
In 0.000 0.500 0.500
Li 0.500 0.172 0.113
Tl 0.000 0.342 0.842
Cd 0.000 0.135 0.635
Li 0.500 0.387 0.328
Li 0.500 0.113 0.828
Tl 0.000 0.842 0.658
Li 0.500 0.828 0.887
Li 0.500 0.613 0.672
Cd 0.000 0.365 0.135
Li 0.500 0.500 0.000


[5]
The following is a PBE-GGA calculation of a relaxed structure of LiTmCdIn, from Alexandria via LeMat-Bulk.

abc: 5.040 5.040 5.040
angles: 60.00 60.00 60.00
Fractional positions:
Tm 0.250 0.250 0.250
In 0.500 0.500 0.500
Li 0.750 0.750 0.750
Cd 0.000 0.000 0.000


[6]
The following is a PBE-GGA calculation of a relaxed structure of Li2VCdIn, from Alexandria via LeMat-Bulk.

abc: 4.946 5.283 4.946
angles: 90.00 90.00 90.00
Fractional positions:
In 0.500 0.500 0.500
Li 0.000 0.000 0.500
V 0.000 0.000 0.000
Cd 0.000 0.500 0.000
Li 0.500 0.000 0.000


[7]
The following is a PBE-GGA calculation of a relaxed structure of Li2YCd2In2, from Alexandria via LeMat-Bulk.

abc: 4.831 4.941 7.734
angles: 104.81 90.00 119.27
Fractional positions:
In 0.585 0.170 0.721
Cd 0.279 0.558 0.810
In 0.415 0.830 0.279
Li 0.866 0.732 0.568
Cd 0.721 0.442 0.190
Y 0.000 0.000 0.000
Li 0.134 0.268 0.432


[8]
The following is a PBE-GGA calculation of a relaxed structure of LiYCdIn, from Alexandria via LeMat-Bulk.

abc: 5.085 5.085 5.085
angles: 60.00 60.00 60.00
Fractional positions:
Y 0.750 0.750 0.750
Li 0.250 0.250 0.250
Cd 0.500 0.500 0.500
In 0.000 0.000 0.000


[9]
The following is a PBE-GGA calculation of a relaxed structure of Li5Zn2Cd2In, from Alexandria via LeMat-Bulk.

abc: 3.447 10.292 10.292
angles: 90.00 90.00 90.00
Fractional positions:
In 0.000 0.000 0.000
Li 0.500 0.000 0.500
Zn 0.000 0.125 0.625
Cd 0.000 0.831 0.669
Li 0.500 0.700 0.424
In 0.000 0.500 0.500
Zn 0.000 0.875 0.375
Li 0.500 0.076 0.800
Cd 0.000 0.169 0.331
Li 0.500 0.500 0.000
Li 0.500 0.424 0.300
Li 0.500 0.924 0.200
Li 0.500 0.800 0.924
Li 0.500 0.300 0.576
Li 0.500 0.200 0.076
Zn 0.000 0.625 0.875
Cd 0.000 0.669 0.169
Li 0.500 0.576 0.700
Cd 0.000 0.331 0.831
Zn 0.000 0.375 0.125


[10]
The following is a PBE-GGA calculation of a relaxed structure of LiZnCd2In, from Alexandria via LeMat-Bulk.

abc: 5.090 5.230 5.090
angles: 90.00 90.00 90.00
Fractional positions:
Li 0.500 0.500 0.500
In 0.000 0.500 0.000
Cd 0.000 0.000 0.500
Cd 0.500 0.000 0.000
Zn 0.000 0.000 0.000


[11]
The following is a PBE-GGA calculation of a relaxed structure of LiZrCdIn, from Alexandria via LeMat-Bulk.

abc: 3.544 4.841 4.936
angles: 90.00 90.00 90.00
Fractional positions:
Li 0.000 0.000 0.000
In 0.500 0.000 0.500
Zr 0.000 0.500 0.500
Cd 0.500 0.500 0.000


[12]
The following is a PBE-GGA calculation of a relaxed structure of LuCd2In, from Alexandria via LeMat-Bulk.

abc: 5.117 5.117 5.117
angles: 60.00 60.00 60.00
Fractional positions:
Cd 0.750 0.750 0.750
Cd 0.250 0.250 0.250
In 0.000 0.000 0.000
Lu 0.500 0.500 0.500


[13]
The following is a PBE-GGA calculation of a relaxed structure of LuCd2In, from Alexandria via LeMat-Bulk.

abc: 3.628 3.628 7.446
angles: 90.00 90.00 90.00
Fractional positions:
Cd 0.000 0.000 0.745
Cd 0.000 0.000 0.255
In 0.500 0.500 0.500
Lu 0.500 0.500 0.000


[14]
The following is a PBE-GGA calculation of a relaxed structure of LuCdIn2, from Alexandria via LeMat-Bulk.

abc: 4.509 4.575 4.575
angles: 90.00 90.00 90.00
Fractional positions:
In 0.000 0.000 0.500
Cd 0.500 0.000 0.000
Lu 0.500 0.500 0.500
In 0.000 0.500 0.000


[15]
The following is a PBE-GGA calculation of a relaxed structure of LuCdIn2, from Alexandria via LeMat-Bulk.

abc: 5.196 5.196 5.196
angles: 60.00 60.00 60.00
Fractional positions:
In 0.750 0.750 0.750
Lu 0.000 0.000 0.000
Cd 0.500 0.500 0.500
In 0.250 0.250 0.250


[16]
The following is a PBE-GGA calculation of a relaxed structure of Lu2CdIn, from Alexandria via LeMat-Bulk.

abc: 5.202 5.202 5.202
angles: 60.00 60.00 60.00
Fractional positions:
In 0.000 0.000 0.000
Cd 0.500 0.500 0.500
Lu 0.250 0.250 0.250
Lu 0.750 0.750 0.750


[17]
The following is a PBE-GGA calculation of a relaxed structure of LuCd2In, from Alexandria via LeMat-Bulk.

abc: 4.661 4.484 4.484
angles: 90.00 90.00 90.00
Fractional positions:
Lu 0.500 0.500 0.500
Cd 0.000 0.000 0.500
Cd 0.000 0.500 0.000
In 0.500 0.000 0.000


[18]
The following is a PBE-GGA calculation of a relaxed structure of LuCdIn2, from Alexandria via LeMat-Bulk.

abc: 4.830 4.830 5.723
angles: 65.04 65.04 60.00
Fractional positions:
In 0.762 0.762 0.713
In 0.238 0.238 0.287
Cd 0.500 0.500 0.500
Lu 0.000 0.000 0.000


[19]
The following is a PBE-GGA calculation of a relaxed structure of Lu2CdIn, from Alexandria via LeMat-Bulk.

abc: 3.691 3.691 7.327
angles: 90.00 90.00 90.00
Fractional positions:
Lu 0.000 0.000 0.753
Cd 0.500 0.500 0.000
In 0.500 0.500 0.500
Lu 0.000 0.000 0.247


[20]
The following is a PBE-GGA calculation of a relaxed structure of LuCdIn2, from Alexandria via LeMat-Bulk.

abc: 3.728 3.728 7.175
angles: 90.00 90.00 90.00
Fractional positions:
In 0.000 0.000 0.236
Lu 0.500 0.500 0.500
Cd 0.500 0.500 0.000
In 0.000 0.000 0.764


no.,calculated volume (Å³ per atom),energy relative to the elements (meV per atom),VASP energy (eV per atom)
1,22.21,-154,-2.124
2,24.08,-95,-2.078
3,20.78,-158,-2.082
4,21.39,-135,-2.022
5,22.63,-326,-2.835
6,25.85,757,-2.563
7,22.00,-300,-2.814
8,23.25,-358,-3.366
9,18.26,-118,-1.786
10,27.10,186,-1.366
11,21.17,-216,-3.745
12,23.69,-164,-2.436
13,24.51,-131,-2.403
14,23.59,-311,-3.039
15,24.79,-128,-2.856
16,24.89,-354,-3.528
17,23.43,-261,-2.533
18,25.24,-126,-2.854
19,24.96,-360,-3.533
20,24.93,-147,-2.876